1.
VASP calculation (PBE) on an optimized crystal structure of NiGe2Au2.

Computed properties:
As for the energy above the most stable polymorph in this dataset: 0 meV per atom.

abc: 6.1475 6.1475 4.6505
angles: 90.00 90.00 90.00
Space group P4/mbm (No. 127)
Unique sites:
Ni 0.0000 0.0000 0.0000 x2
Ge 0.1397 0.3603 0.0000 x4
Au 0.2354 0.7354 0.5000 x4



2.
VASP calculation (PBE) on an optimized crystal structure of Tb9Ho4Tm11.

abc: 16.4753 24.8814 3.6355
angles: 90.00 90.00 90.00
Space group Cmmm (No. 65)
Unique sites:
Tb 0.0000 0.0000 0.0000 x2
Tb 0.1027 0.2340 0.0000 x8
Tb 0.1409 0.4272 0.0000 x8
Ho 0.1548 0.1008 0.0000 x8
Tm 0.0000 0.1334 0.5000 x4
Tm 0.0000 0.3402 0.5000 x4
Tm 0.0000 0.5000 0.5000 x2
Tm 0.2090 0.0000 0.5000 x4
Tm 0.2257 0.3190 0.5000 x8



3.
VASP calculation (PBE) on an optimized crystal structure of Mg4Al5Ga2.

abc: 7.3990 2.9694 9.4303
angles: 90.00 94.26 90.00
Space group P2/m (No. 10)
Unique sites:
Mg 0.1610 0.0000 0.3966 x2
Mg 0.2903 0.0000 0.9464 x2
Al 0.2056 0.5000 0.6699 x2
Al 0.4336 0.5000 0.2094 x2
Al 0.5000 0.5000 0.5000 x1
Ga 0.0605 0.5000 0.1393 x2



4.
VASP calculation (PBE) on an optimized crystal structure of La3Tl4Hg2.

Computed properties:
As for the energy above the most stable polymorph in this dataset: 28 meV per atom.

abc: 8.2090 8.2090 4.5825
angles: 90.00 90.00 120.00
Space group P-62m (No. 189)
Unique sites:
La 0.0000 0.4045 0.0000 x3
Tl 0.0000 0.0000 0.0000 x1
Tl 0.0000 0.7367 0.5000 x3
Hg 0.3333 0.6667 0.5000 x2



no.,energy of formation from the pure elements (eV per atom),magnetization (μB/f.u.)
1,0.094,0.000
2,0.047,0.002
3,-0.024,0.000
4,-0.352,0.000